Entry 1:
The following is a GGA-PBE calculation of AcPm2In2Ag2 after structural relaxation, from Alexandria via LeMat-Bulk.

abc: 4.9539 4.9539 28.5908
angles: 90.00 90.00 120.00
Space group R-3m (No. 166, hexagonal axes)
Asymmetric unit:
Ac 0.0000 0.0000 0.0000
Pm 0.0000 0.0000 0.1284
In 0.0000 0.0000 0.2543
Ag 0.0000 0.0000 0.4093

Calculated values
formation energy = -324 meV per atom
DFT total energy = -3.865 eV per atom
total magnetic moment = 0.00 μB/f.u.

Entry 2:
The following is a GGA-PBE calculation of RePS2I after structural relaxation, from Alexandria via LeMat-Bulk.

abc: 4.9668 4.9668 5.2828
angles: 90.00 90.00 90.00
Space group P4/mmm (No. 123)
Asymmetric unit:
Re 0.0000 0.0000 0.0000
P 0.5000 0.5000 0.0000
S 0.0000 0.5000 0.5000
I 0.5000 0.5000 0.5000

Calculated values
distance to the lowest polymorph of the same formula = 1.683 eV/atom
DFT total energy = -3.462 eV per atom
total magnetic moment = 4.09 μB/f.u.